[1]
Ca2Te | Alexandria | PBE | relaxed; volume = 34.17 Å³/atom; symmetry = Fm-3m; uncorrected formation energy = -0.74 eV/atom
1.0
0.000 3.715 3.715
3.715 0.000 3.715
3.715 3.715 0.000
Ca Te
2 1
direct
0.250 0.250 0.250 Ca
0.750 0.750 0.750 Ca
0.000 0.000 0.000 Te

***

[2]
NaTa2Ag | Alexandria | PBE | relaxed; volume = 20.47 Å³/atom; symmetry = I-42d; energy relative to the elements = 1.2239 eV/atom; ΔE to the lowest computed polymorph = 0.114 eV/atom
1.0
-3.947 3.947 2.628
3.947 -3.947 2.628
3.947 3.947 -2.628
Na Ta Ag
2 4 2
direct
0.000 0.000 0.000 Na
0.750 0.250 0.500 Na
0.150 0.125 0.525 Ta
0.375 0.850 0.975 Ta
0.600 0.625 0.475 Ta
0.875 0.400 0.025 Ta
0.250 0.750 0.500 Ag
0.500 0.500 0.000 Ag

***

[3]
SbAu2Br6 | Alexandria | PBE | relaxed; volume = 40.60 Å³/atom; symmetry = C2/c; uncorrected formation energy = -0.25 eV/atom; ΔE to the lowest computed polymorph = 0.017 eV/atom
1.0
6.515 -7.131 0.000
6.515 7.131 0.000
-2.212 0.000 7.867
Sb Au Br
2 4 12
direct
0.097 0.903 0.750 Sb
0.903 0.097 0.250 Sb
0.234 0.310 0.778 Au
0.310 0.234 0.278 Au
0.690 0.766 0.722 Au
0.766 0.690 0.222 Au
0.009 0.784 0.388 Br
0.080 0.656 0.819 Br
0.216 0.991 0.112 Br
0.344 0.920 0.681 Br
0.376 0.403 0.549 Br
0.403 0.376 0.049 Br
0.597 0.624 0.951 Br
0.624 0.597 0.451 Br
0.656 0.080 0.319 Br
0.784 0.009 0.888 Br
0.920 0.344 0.181 Br
0.991 0.216 0.612 Br

***

[4]
BeZnCl2 | Alexandria | PBE | relaxed; volume = 23.46 Å³/atom; symmetry = Pm; uncorrected formation energy = -0.66 eV/atom; ΔE to the lowest computed polymorph = 0.000 eV/atom
1.0
5.385 0.000 0.000
0.000 3.171 0.000
-1.932 0.000 5.495
Be Zn Cl
1 1 2
direct
0.000 0.000 0.000 Be
0.693 0.500 0.159 Zn
0.317 0.000 0.287 Cl
0.985 0.500 0.765 Cl

***

[5]
Na3TaCo2Se6 | Alexandria | PBE | relaxed; volume = 20.50 Å³/atom; symmetry = C2/m; uncorrected formation energy = -0.60 eV/atom
1.0
3.217 -5.545 0.000
3.217 5.545 0.000
-2.146 0.000 6.895
Na Ta Co Se
3 1 2 6
direct
0.000 0.000 0.000 Na
0.337 0.663 0.000 Na
0.663 0.337 0.000 Na
0.500 0.500 0.500 Ta
0.167 0.833 0.500 Co
0.833 0.167 0.500 Co
0.086 0.435 0.304 Se
0.216 0.216 0.695 Se
0.435 0.086 0.304 Se
0.565 0.914 0.696 Se
0.784 0.784 0.305 Se
0.914 0.565 0.696 Se

***

[6]
NbPdC2 | Alexandria | PBE | relaxed; volume = 10.81 Å³/atom; symmetry = Fm-3m; energy relative to the elements = 1.0574 eV/atom; ΔE to the lowest computed polymorph = 0.377 eV/atom
1.0
0.000 2.785 2.785
2.785 0.000 2.785
2.785 2.785 0.000
Nb Pd C
1 1 2
direct
0.000 0.000 0.000 Nb
0.500 0.500 0.500 Pd
0.250 0.250 0.250 C
0.750 0.750 0.750 C

***

[7]
RbBe2Cl | Alexandria | PBE | relaxed; volume = 27.97 Å³/atom; symmetry = I4_1/amd; uncorrected formation energy = 0.20 eV/atom; ΔE to the lowest computed polymorph = 0.000 eV/atom
1.0
-2.222 2.222 11.335
2.222 -2.222 11.335
2.222 2.222 -11.335
Rb Be Cl
2 4 2
direct
0.375 0.625 0.750 Rb
0.625 0.375 0.250 Rb
0.000 0.000 0.000 Be
0.000 0.000 0.500 Be
0.000 0.500 0.000 Be
0.500 0.000 0.500 Be
0.125 0.875 0.250 Cl
0.875 0.125 0.750 Cl

***

[8]
AcCeAgGe | Alexandria | PBE | relaxed; volume = 27.86 Å³/atom; symmetry = F-43m; energy relative to the elements = -0.3653 eV/atom
1.0
0.000 3.820 3.820
3.820 0.000 3.820
3.820 3.820 0.000
Ac Ce Ag Ge
1 1 1 1
direct
0.000 0.000 0.000 Ac
0.500 0.500 0.500 Ce
0.250 0.250 0.250 Ag
0.750 0.750 0.750 Ge

***

[9]
NbSb | Alexandria | PBE | relaxed; volume = 24.72 Å³/atom; symmetry = P6_3/m; uncorrected formation energy = 0.17 eV/atom
1.0
10.791 0.000 0.000
-5.396 9.346 0.000
0.000 0.000 2.941
Nb Sb
6 6
direct
0.159 0.528 0.250 Nb
0.369 0.841 0.250 Nb
0.472 0.631 0.250 Nb
0.528 0.369 0.750 Nb
0.631 0.159 0.750 Nb
0.841 0.472 0.750 Nb
0.056 0.723 0.250 Sb
0.277 0.333 0.250 Sb
0.333 0.056 0.750 Sb
0.667 0.944 0.250 Sb
0.723 0.667 0.750 Sb
0.944 0.277 0.750 Sb

***

[10]
PmNd7Y4 | Alexandria | PBE | relaxed; volume = 35.05 Å³/atom; symmetry = C2/m; energy relative to the elements = 0.2358 eV/atom; ΔE to the lowest computed polymorph = 0.236 eV/atom
1.0
6.083 -3.038 0.000
6.083 3.038 0.000
-6.068 0.000 11.381
Pm Nd Y
1 7 4
direct
0.000 0.000 0.000 Pm
0.129 0.129 0.498 Nd
0.264 0.264 0.325 Nd
0.289 0.289 0.080 Nd
0.500 0.500 0.000 Nd
0.711 0.711 0.920 Nd
0.736 0.736 0.675 Nd
0.871 0.871 0.502 Nd
0.137 0.137 0.776 Y
0.434 0.434 0.683 Y
0.566 0.566 0.317 Y
0.863 0.863 0.224 Y

***

[11]
LaGe2PtI | Alexandria | PBE | relaxed; volume = 38.60 Å³/atom; symmetry = P4/mmm; uncorrected formation energy = 1.10 eV/atom
1.0
5.717 0.000 0.000
0.000 5.717 0.000
0.000 0.000 5.905
La Ge Pt I
1 2 1 1
direct
0.000 0.000 0.000 La
0.000 0.500 0.000 Ge
0.500 0.000 0.000 Ge
0.500 0.500 0.500 Pt
0.000 0.000 0.500 I